(1)
Here is a relaxed structure of ZrIn2As from Alexandria. Energies are from GGA-PBE.

Computed properties:
Crystal system   orthorhombic
Space group   No. 65
DFT formation energy   21 kJ/mol of formula units

abc: 3.166 3.166 9.215
angles: 90.00 90.00 102.61
Atoms (fractional coordinates):
Zr  0.000  0.000  0.000
In  0.500  0.500  0.251
In  0.500  0.500  0.749
As  0.000  0.000  0.500

(2)
Here is a relaxed structure of ZrIn2As from Alexandria. Energies are from GGA-PBE.

Computed properties:
Crystal system   orthorhombic
Space group   No. 65
DFT formation energy   -41 kJ/mol of formula units

abc: 5.423 5.423 3.336
angles: 90.00 90.00 115.70
Atoms (fractional coordinates):
Zr  0.000  0.000  0.000
In  0.000  0.500  0.500
In  0.500  0.000  0.500
As  0.500  0.500  0.000

(3)
Here is a relaxed structure of ZrIn2As from Alexandria. Energies are from GGA-PBE.

Computed properties:
Crystal system   tetragonal
Space group   No. 123
DFT formation energy   -54 kJ/mol of formula units

abc: 3.985 3.985 5.633
angles: 90.00 90.00 90.00
Atoms (fractional coordinates):
Zr  0.000  0.000  0.000
In  0.500  0.500  0.249
In  0.500  0.500  0.751
As  0.000  0.000  0.500

(4)
Here is a relaxed structure of Zr2InAs from Alexandria. Energies are from GGA-PBE.

Computed properties:
Crystal system   monoclinic
Space group   No. 6
DFT formation energy   -200 kJ/mol of formula units

abc: 3.906 4.105 5.627
angles: 90.00 110.23 90.00
Atoms (fractional coordinates):
Zr  0.000  0.000  0.000
Zr  0.284  0.500  0.566
In  0.732  0.000  0.461
As  0.543  0.500  0.089

> Look up the DFT formation energy of the first one.

21 kJ/mol of formula units

> DFT formation energy of number 1 (ZrIn2As)?

21 kJ/mol of formula units